1.
Sm2BiO2: optimized geometry, GGA-PBEsol.

```
data_Sm2BiO2
_symmetry_space_group_name_H-M 'P 1'
_symmetry_Int_Tables_number 1
_symmetry_space_group_name_Hall 'P 1'
_cell_length_a 7.361
_cell_length_b 7.361
_cell_length_c 7.361
_cell_angle_alpha 149.14
_cell_angle_beta 149.14
_cell_angle_gamma 44.21
loop_
_atom_site_label
_atom_site_fract_x
_atom_site_fract_y
_atom_site_fract_z
_atom_site_occupancy
Sm1 0.166 0.166 0.000 1
Sm2 0.834 0.834 0.000 1
Bi1 0.500 0.500 0.000 1
O1 0.250 0.750 0.500 1
O2 0.750 0.250 0.500 1
```

Values from the calculation:
Total DFT energy (no corrections), eV/atom: -7.66
SG: I4/mmm (139)
Calculated volume, Å³ per cell: 104.6

***

2.
CdIrRh2: optimized geometry, GGA-PBEsol.

```
data_CdIrRh2
_symmetry_space_group_name_H-M 'P 1'
_symmetry_Int_Tables_number 1
_symmetry_space_group_name_Hall 'P 1'
_cell_length_a 2.723
_cell_length_b 2.723
_cell_length_c 9.312
_cell_angle_alpha 90.00
_cell_angle_beta 90.00
_cell_angle_gamma 119.74
loop_
_atom_site_label
_atom_site_fract_x
_atom_site_fract_y
_atom_site_fract_z
_atom_site_occupancy
Cd1 0.000 0.000 0.000 1
Ir1 0.500 0.500 0.265 1
Rh1 0.000 0.000 0.504 1
Rh2 0.500 0.500 0.743 1
```

Values from the calculation:
Total DFT energy (no corrections), eV/atom: -6.56
SG: Cmm2 (35)
Calculated volume, Å³ per cell: 60.0

***

3.
ScCI2O: optimized geometry, GGA-PBEsol.

```
data_ScCI2O
_symmetry_space_group_name_H-M 'P 1'
_symmetry_Int_Tables_number 1
_symmetry_space_group_name_Hall 'P 1'
_cell_length_a 5.213
_cell_length_b 5.213
_cell_length_c 3.399
_cell_angle_alpha 90.00
_cell_angle_beta 90.00
_cell_angle_gamma 90.00
loop_
_atom_site_label
_atom_site_fract_x
_atom_site_fract_y
_atom_site_fract_z
_atom_site_occupancy
Sc1 0.000 0.000 0.000 1
C1 0.500 0.500 0.500 1
I1 0.000 0.500 0.500 1
I2 0.500 0.000 0.500 1
O1 0.500 0.500 0.000 1
```

Values from the calculation:
SG: P4/mmm (123)
Relative energy among the computed polymorphs, meV/atom: 251
Calculated volume, Å³ per cell: 92.4

***

4.
SiPS2: optimized geometry, GGA-PBEsol.

```
data_SiPS2
_symmetry_space_group_name_H-M 'P 1'
_symmetry_Int_Tables_number 1
_symmetry_space_group_name_Hall 'P 1'
_cell_length_a 7.673
_cell_length_b 7.673
_cell_length_c 7.673
_cell_angle_alpha 24.81
_cell_angle_beta 24.81
_cell_angle_gamma 24.81
loop_
_atom_site_label
_atom_site_fract_x
_atom_site_fract_y
_atom_site_fract_z
_atom_site_occupancy
Si1 0.000 0.000 0.000 1
P1 0.500 0.500 0.500 1
S1 0.394 0.394 0.394 1
S2 0.606 0.606 0.606 1
```

Values from the calculation:
SG: R-3m (166)
Relative energy among the computed polymorphs, meV/atom: 0
Calculated volume, Å³ per cell: 69.9

***

5.
MgAl2P: optimized geometry, GGA-PBEsol.

```
data_MgAl2P
_symmetry_space_group_name_H-M 'P 1'
_symmetry_Int_Tables_number 1
_symmetry_space_group_name_Hall 'P 1'
_cell_length_a 7.647
_cell_length_b 7.647
_cell_length_c 7.647
_cell_angle_alpha 26.16
_cell_angle_beta 26.16
_cell_angle_gamma 26.16
loop_
_atom_site_label
_atom_site_fract_x
_atom_site_fract_y
_atom_site_fract_z
_atom_site_occupancy
Mg1 0.000 0.000 0.000 1
Al1 0.231 0.231 0.231 1
Al2 0.769 0.769 0.769 1
P1 0.500 0.500 0.500 1
```

Values from the calculation:
SG: R-3m (166)
Relative energy among the computed polymorphs, meV/atom: 66
Calculated volume, Å³ per cell: 76.6

***

6.
CuTcI2: optimized geometry, GGA-PBEsol.

```
data_CuTcI2
_symmetry_space_group_name_H-M 'P 1'
_symmetry_Int_Tables_number 1
_symmetry_space_group_name_Hall 'P 1'
_cell_length_a 4.758
_cell_length_b 4.758
_cell_length_c 4.758
_cell_angle_alpha 60.00
_cell_angle_beta 60.00
_cell_angle_gamma 60.00
loop_
_atom_site_label
_atom_site_fract_x
_atom_site_fract_y
_atom_site_fract_z
_atom_site_occupancy
Cu1 0.000 0.000 0.000 1
Tc1 0.500 0.500 0.500 1
I1 0.250 0.250 0.250 1
I2 0.750 0.750 0.750 1
```

Values from the calculation:
Total DFT energy (no corrections), eV/atom: -3.95
SG: Fm-3m (225)
Calculated volume, Å³ per cell: 76.1

***

7.
LuSi: optimized geometry, GGA-PBEsol.

```
data_LuSi
_symmetry_space_group_name_H-M 'P 1'
_symmetry_Int_Tables_number 1
_symmetry_space_group_name_Hall 'P 1'
_cell_length_a 5.497
_cell_length_b 5.497
_cell_length_c 3.721
_cell_angle_alpha 90.00
_cell_angle_beta 90.00
_cell_angle_gamma 136.00
loop_
_atom_site_label
_atom_site_fract_x
_atom_site_fract_y
_atom_site_fract_z
_atom_site_occupancy
Lu1 0.141 0.859 0.750 1
Lu2 0.859 0.141 0.250 1
Si1 0.421 0.579 0.750 1
Si2 0.579 0.421 0.250 1
```

Values from the calculation:
Total DFT energy (no corrections), eV/atom: -6.18
SG: Cmcm (63)
Calculated volume, Å³ per cell: 78.1

***

8.
SrMg30FeO32: optimized geometry, GGA-PBEsol.

```
data_SrMg30FeO32
_symmetry_space_group_name_H-M 'P 1'
_symmetry_Int_Tables_number 1
_symmetry_space_group_name_Hall 'P 1'
_cell_length_a 8.519
_cell_length_b 8.519
_cell_length_c 8.531
_cell_angle_alpha 90.00
_cell_angle_beta 90.00
_cell_angle_gamma 90.00
loop_
_atom_site_label
_atom_site_fract_x
_atom_site_fract_y
_atom_site_fract_z
_atom_site_occupancy
Sr1 0.000 0.000 0.000 1
Mg1 0.000 0.000 0.500 1
Mg2 0.000 0.255 0.255 1
Mg3 0.000 0.255 0.745 1
Mg4 0.000 0.500 0.000 1
Mg5 0.000 0.500 0.500 1
Mg6 0.000 0.745 0.255 1
Mg7 0.000 0.745 0.745 1
Mg8 0.251 0.251 0.500 1
Mg9 0.251 0.500 0.251 1
Mg10 0.251 0.500 0.749 1
Mg11 0.251 0.749 0.500 1
Mg12 0.255 0.000 0.255 1
Mg13 0.255 0.000 0.745 1
Mg14 0.255 0.255 0.000 1
Mg15 0.255 0.745 0.000 1
Mg16 0.500 0.000 0.000 1
Mg17 0.500 0.000 0.500 1
Mg18 0.500 0.251 0.251 1
Mg19 0.500 0.251 0.749 1
Mg20 0.500 0.500 0.500 1
Mg21 0.500 0.749 0.251 1
Mg22 0.500 0.749 0.749 1
Mg23 0.745 0.000 0.255 1
Mg24 0.745 0.000 0.745 1
Mg25 0.745 0.255 0.000 1
Mg26 0.745 0.745 0.000 1
Mg27 0.749 0.251 0.500 1
Mg28 0.749 0.500 0.251 1
Mg29 0.749 0.500 0.749 1
Mg30 0.749 0.749 0.500 1
Fe1 0.500 0.500 0.000 1
O1 0.000 0.000 0.270 1
O2 0.000 0.000 0.730 1
O3 0.000 0.253 0.500 1
O4 0.000 0.270 0.000 1
O5 0.000 0.500 0.254 1
O6 0.000 0.500 0.746 1
O7 0.000 0.730 0.000 1
O8 0.000 0.747 0.500 1
O9 0.250 0.250 0.249 1
O10 0.250 0.250 0.751 1
O11 0.250 0.500 0.500 1
O12 0.250 0.750 0.249 1
O13 0.250 0.750 0.751 1
O14 0.251 0.500 0.000 1
O15 0.253 0.000 0.500 1
O16 0.270 0.000 0.000 1
O17 0.500 0.000 0.254 1
O18 0.500 0.000 0.746 1
O19 0.500 0.250 0.500 1
O20 0.500 0.251 0.000 1
O21 0.500 0.500 0.256 1
O22 0.500 0.500 0.744 1
O23 0.500 0.749 0.000 1
O24 0.500 0.750 0.500 1
O25 0.730 0.000 0.000 1
O26 0.747 0.000 0.500 1
O27 0.749 0.500 0.000 1
O28 0.750 0.250 0.249 1
O29 0.750 0.250 0.751 1
O30 0.750 0.500 0.500 1
O31 0.750 0.750 0.249 1
O32 0.750 0.750 0.751 1
```

Values from the calculation:
Total DFT energy (no corrections), eV/atom: -6.24
SG: P4/mmm (123)
Calculated volume, Å³ per cell: 619.2

***

9.
Zn3S2O9: optimized geometry, GGA-PBEsol.

```
data_Zn3S2O9
_symmetry_space_group_name_H-M 'P 1'
_symmetry_Int_Tables_number 1
_symmetry_space_group_name_Hall 'P 1'
_cell_length_a 7.402
_cell_length_b 6.640
_cell_length_c 7.941
_cell_angle_alpha 90.00
_cell_angle_beta 117.43
_cell_angle_gamma 90.00
loop_
_atom_site_label
_atom_site_fract_x
_atom_site_fract_y
_atom_site_fract_z
_atom_site_occupancy
Zn1 0.000 0.000 0.000 1
Zn2 0.000 0.500 0.000 1
Zn3 0.130 0.250 0.750 1
Zn4 0.384 0.250 0.234 1
Zn5 0.616 0.750 0.766 1
Zn6 0.870 0.750 0.250 1
S1 0.159 0.750 0.709 1
S2 0.451 0.750 0.294 1
S3 0.549 0.250 0.706 1
S4 0.841 0.250 0.291 1
O1 0.077 0.569 0.763 1
O2 0.077 0.931 0.763 1
O3 0.099 0.750 0.505 1
O4 0.125 0.250 0.997 1
O5 0.316 0.569 0.225 1
O6 0.316 0.931 0.225 1
O7 0.383 0.750 0.815 1
O8 0.405 0.250 0.786 1
O9 0.434 0.250 0.498 1
O10 0.566 0.750 0.502 1
O11 0.595 0.750 0.214 1
O12 0.617 0.250 0.185 1
O13 0.684 0.069 0.775 1
O14 0.684 0.431 0.775 1
O15 0.875 0.750 0.003 1
O16 0.901 0.250 0.495 1
O17 0.923 0.069 0.237 1
O18 0.923 0.431 0.237 1
```

Values from the calculation:
Total DFT energy (no corrections), eV/atom: -5.78
SG: P2_1/m (11)
Calculated volume, Å³ per cell: 346.4

***

10.
CsInSe2: optimized geometry, GGA-PBEsol.

```
data_CsInSe2
_symmetry_space_group_name_H-M 'P 1'
_symmetry_Int_Tables_number 1
_symmetry_space_group_name_Hall 'P 1'
_cell_length_a 7.150
_cell_length_b 7.150
_cell_length_c 7.150
_cell_angle_alpha 112.71
_cell_angle_beta 112.71
_cell_angle_gamma 103.16
loop_
_atom_site_label
_atom_site_fract_x
_atom_site_fract_y
_atom_site_fract_z
_atom_site_occupancy
Cs1 0.000 0.000 0.000 1
Cs2 0.750 0.250 0.500 1
In1 0.250 0.750 0.500 1
In2 0.500 0.500 0.000 1
Se1 0.217 0.125 0.592 1
Se2 0.375 0.783 0.908 1
Se3 0.533 0.625 0.408 1
Se4 0.875 0.467 0.092 1
```

Values from the calculation:
Total DFT energy (no corrections), eV/atom: -3.78
SG: I-42d (122)
Calculated volume, Å³ per cell: 278.9

***

11.
CuMo2Os: optimized geometry, GGA-PBEsol.

```
data_CuMo2Os
_symmetry_space_group_name_H-M 'P 1'
_symmetry_Int_Tables_number 1
_symmetry_space_group_name_Hall 'P 1'
_cell_length_a 2.761
_cell_length_b 3.786
_cell_length_c 5.415
_cell_angle_alpha 90.00
_cell_angle_beta 90.00
_cell_angle_gamma 90.00
loop_
_atom_site_label
_atom_site_fract_x
_atom_site_fract_y
_atom_site_fract_z
_atom_site_occupancy
Cu1 0.000 0.000 0.000 1
Mo1 0.000 0.000 0.514 1
Mo2 0.500 0.500 0.233 1
Os1 0.500 0.500 0.753 1
```

Values from the calculation:
SG: Pmm2 (25)
Relative energy among the computed polymorphs, meV/atom: 95
Calculated volume, Å³ per cell: 56.6

***

12.
La2ScTiPt: optimized geometry, GGA-PBEsol.

```
data_La2ScTiPt
_symmetry_space_group_name_H-M 'P 1'
_symmetry_Int_Tables_number 1
_symmetry_space_group_name_Hall 'P 1'
_cell_length_a 5.587
_cell_length_b 5.587
_cell_length_c 5.055
_cell_angle_alpha 90.00
_cell_angle_beta 90.00
_cell_angle_gamma 90.00
loop_
_atom_site_label
_atom_site_fract_x
_atom_site_fract_y
_atom_site_fract_z
_atom_site_occupancy
La1 0.000 0.500 0.000 1
La2 0.500 0.000 0.000 1
Sc1 0.000 0.000 0.500 1
Ti1 0.500 0.500 0.500 1
Pt1 0.000 0.000 0.000 1
```

Values from the calculation:
Total DFT energy (no corrections), eV/atom: -6.39
SG: P4/mmm (123)
Calculated volume, Å³ per cell: 157.8